DFT (SCAN) results for a PBEsol-optimized structure of Al2Ga2O.

Values from the calculation:
ρ (g/cm3): 4.07
Crystal system: tetragonal
Uncorrected formation energy (eV per atom): 0.313
Total moment (μB/atom): 0.0000

Unit cell a=3.4980 b=3.4980 c=7.4025 alpha=103.67 beta=103.67 gamma=90.00
Last column: nearest neighbours and their distance in Å.
Element x y z (fractional)
O  0.0000  0.0000  0.0000  8 Ga 2.75
Al  0.2500  0.7500  0.5000  4 Al 2.47
Al  0.7500  0.2500  0.5000  4 Al 2.47
Ga  0.4144  0.4144  0.8287  1 Ga 2.39
Ga  0.5856  0.5856  0.1713  1 Ga 2.39